Here is crystalline La4Sb2O at its relaxed geometry from the Alexandria database. Energies are from PBE-GGA.

```
7
Lattice="4.808 0.000 0.000 0.000 4.808 0.000 2.404 2.404 8.811" Properties=species:S:1:pos:R:3 pbc="T T T"
Sb 2.404 2.404 2.456
La 2.404 0.000 0.000
La 4.808 4.808 3.069
O 0.000 0.000 0.000
La 2.404 2.404 5.742
Sb 4.808 4.808 6.355
La 0.000 2.404 0.000
```

Output
- DOS at the Fermi energy (states/eV per cell) = 7.41
- uncorrected formation energy (eV/atom) = -1.54
- space-group type = I4/mmm (139)
- ΔE to the lowest computed polymorph (kJ per mole of atoms) = 0.0
- density (Mg/m³) = 6.6



Here is crystalline YSi2Sb at its relaxed geometry from the Alexandria database. Energies are from PBE-GGA.

```
4
Lattice="-1.022 3.492 1.122 -1.084 -1.400 3.371 5.449 0.910 2.131" Properties=species:S:1:pos:R:3 pbc="T T T"
Si 0.057 0.010 0.022
Si 0.176 1.251 2.727
Sb 3.168 1.751 3.897
Y 2.666 0.445 1.043
```

Output
- DOS at the Fermi energy (states/eV per cell) = 2.53
- uncorrected formation energy (eV/atom) = -0.14
- space-group type = P4mm (99)
- density (Mg/m³) = 5.2



Here is crystalline LaAl3ZnPd at its relaxed geometry from the Alexandria database. Energies are from PBE-GGA.

```
12
Lattice="-2.479 -4.902 -2.122 5.156 -2.887 0.647 -4.402 -0.387 6.037" Properties=species:S:1:pos:R:3 pbc="T T T"
Zn 0.191 -5.650 0.572
Zn -1.916 -2.527 3.990
Pd 0.470 -4.163 4.982
La 1.223 -3.407 2.356
Al 2.468 -4.528 -0.596
Al 0.208 -3.262 -0.879
Al -0.652 -6.497 3.512
Pd -2.195 -4.014 -0.420
La -2.948 -4.770 2.206
Al 3.708 -2.077 0.465
Al -1.073 -1.681 1.050
Al 1.448 -0.811 0.182
```

Output
- DOS at the Fermi energy (states/eV per cell) = 5.86
- space-group type = Cmcm (63)
- density (Mg/m³) = 5.4
- ΔH_f (0 K) (eV per formula unit) = -2.4



Here is crystalline MgCBr3 at its relaxed geometry from the Alexandria database. Energies are from PBE-GGA.

```
5
Lattice="4.772 0.000 0.000 0.000 4.772 0.000 0.000 0.000 4.772" Properties=species:S:1:pos:R:3 pbc="T T T"
Br 2.386 0.000 0.000
Br 0.000 0.000 2.386
Mg 2.386 2.386 2.386
Br 0.000 2.386 0.000
C 0.000 0.000 0.000
```

Output
- DOS at the Fermi energy (states/eV per cell) = 1.95
- uncorrected formation energy (eV/atom) = 0.64
- space-group type = Pm-3m (221)
- ΔE to the lowest computed polymorph (kJ per mole of atoms) = 0.0
- density (Mg/m³) = 4.2



Here is crystalline ZrOs2Se at its relaxed geometry from the Alexandria database. Energies are from PBE-GGA.

```
4
Lattice="-2.676 -8.741 -0.893 -2.680 -8.550 2.022 -5.015 -7.679 0.498" Properties=species:S:1:pos:R:3 pbc="T T T"
Zr -7.796 -18.769 1.223
Os -10.296 -24.788 1.616
Os -2.601 -6.262 0.408
Se -5.237 -12.608 0.822
```

Output
- DOS at the Fermi energy (states/eV per cell) = 3.15
- uncorrected formation energy (eV/atom) = 0.27
- space-group type = R3m (160)
- density (Mg/m³) = 13.7



Here is crystalline LiSi2Tc2 at its relaxed geometry from the Alexandria database. Energies are from PBE-GGA.

```
10
Lattice="-6.240 -2.659 -0.789 2.507 -6.238 1.197 -0.524 0.355 2.946" Properties=species:S:1:pos:R:3 pbc="T T T"
Tc -3.679 -2.661 -0.334
Si -2.119 -1.669 1.366
Si 0.452 -4.227 2.131
Tc -3.678 -6.314 0.107
Tc -0.056 -2.584 0.301
Li 0.000 0.000 0.000
Si -2.139 -6.873 1.989
Si -4.709 -4.316 1.224
Tc -0.055 -6.236 0.742
Li -1.867 -4.449 0.204
```

Output
- DOS at the Fermi energy (states/eV per cell) = 7.94
- uncorrected formation energy (eV/atom) = -0.28
- space-group type = P4/mbm (127)
- ΔE to the lowest computed polymorph (kJ per mole of atoms) = 14.6
- density (Mg/m³) = 6.1



Here is crystalline Ce5ZrS6 at its relaxed geometry from the Alexandria database. Energies are from PBE-GGA.

```
12
Lattice="6.787 0.165 1.031 1.668 5.742 3.348 0.116 0.059 6.854" Properties=species:S:1:pos:R:3 pbc="T T T"
Ce 1.188 3.864 6.809
S 5.326 0.602 3.256
Ce 0.596 1.938 3.393
Ce 4.227 2.954 2.190
Ce 4.818 4.871 5.621
S 3.245 5.365 7.977
Zr 0.000 0.000 0.000
S 2.063 1.414 1.054
S 2.667 3.496 4.458
Ce 3.753 1.096 5.612
S 6.392 4.493 3.325
S 5.904 2.471 6.775
```

Output
- DOS at the Fermi energy (states/eV per cell) = 23.10
- uncorrected formation energy (eV/atom) = -1.94
- space-group type = C2/m (12)
- density (Mg/m³) = 6.2



Here is crystalline Ho6Fe2Pd at its relaxed geometry from the Alexandria database. Energies are from PBE-GGA.

```
18
Lattice="7.692 0.122 -2.838 -3.984 6.752 -2.404 -0.115 -0.122 8.198" Properties=species:S:1:pos:R:3 pbc="T T T"
Fe 4.679 0.000 3.310
Fe 1.403 4.166 -1.984
Ho 3.772 2.613 2.704
Ho 2.490 1.979 -0.503
Ho -1.661 5.148 5.576
Ho 2.987 5.270 0.584
Ho 5.296 0.149 0.550
Ho -0.179 4.138 0.253
Fe 2.190 2.586 4.941
Ho -0.469 1.858 5.683
Pd -2.050 3.315 2.897
Pd 0.000 0.000 0.000
Ho 0.606 1.482 2.372
Ho 4.063 4.894 -2.726
Fe 2.899 0.000 2.050
Ho 5.254 1.604 -2.620
Ho 1.103 4.772 3.460
Ho -1.702 6.603 2.407
```

Output
- DOS at the Fermi energy (states/eV per cell) = 16.92
- space-group type = Immm (71)
- density (Mg/m³) = 9.5
- ΔH_f (0 K) (eV per formula unit) = -2.0



Here is crystalline ZrPb3Br at its relaxed geometry from the Alexandria database. Energies are from PBE-GGA.

```
5
Lattice="5.743 0.000 0.000 0.000 5.743 0.000 0.000 0.000 5.743" Properties=species:S:1:pos:R:3 pbc="T T T"
Pb 2.872 0.000 0.000
Zr 0.000 0.000 0.000
Pb 0.000 2.872 0.000
Br 2.872 2.872 2.872
Pb 0.000 0.000 2.872
```

Output
- DOS at the Fermi energy (states/eV per cell) = 5.45
- uncorrected formation energy (eV/atom) = 0.23
- space-group type = Pm-3m (221)
- ΔE to the lowest computed polymorph (kJ per mole of atoms) = 0.0
- density (Mg/m³) = 6.9



Here is crystalline Eu3Sn5Br12 at its relaxed geometry from the Alexandria database. Energies are from PBE-GGA.

```
80
Lattice="-6.989 11.993 7.836 -8.823 -3.917 -12.684 1.309 -12.611 9.661" Properties=species:S:1:pos:R:3 pbc="T T T"
Br -6.257 7.339 4.303
Br -11.595 -4.964 -0.931
Sn -3.757 -8.264 -1.512
Br -8.053 -7.143 -7.559
Br -9.855 4.330 -0.037
Br -8.683 -4.422 -3.124
Br -0.713 -10.306 9.234
Br -7.853 3.523 7.405
Br -4.735 4.784 6.481
Br -13.675 2.859 -2.507
Br -9.289 -0.846 0.560
Eu -6.116 -10.484 2.484
Br -8.833 1.571 -4.047
Eu -8.387 5.949 2.328
Br -5.166 -10.934 -0.829
Br -1.498 -5.138 2.938
Br -0.829 -7.393 7.319
Sn -10.648 -1.412 6.174
Br -5.627 3.948 3.004
Br -2.899 -11.481 3.345
Br -3.524 -2.900 7.200
Sn 0.655 -6.305 4.830
Br -13.791 5.772 -4.422
Sn -7.000 -6.168 -4.911
Br -9.338 6.399 5.641
Sn -11.761 0.916 -3.786
Eu -7.808 -1.103 -2.574
Sn -3.855 -3.122 -1.362
Eu -6.891 6.851 7.686
Br -2.908 0.429 5.743
Br -8.247 -11.874 0.509
Br -5.214 -3.689 4.252
Sn -9.840 -6.477 3.837
Sn -10.266 1.817 1.572
Sn 0.000 0.000 0.000
Sn -9.304 -2.005 -7.932
Sn -4.663 1.942 0.975
Sn -3.495 5.996 3.918
Br -9.810 -3.472 8.205
Br -8.913 3.183 3.891
Br -10.979 -1.635 -2.387
Br -5.670 -6.106 8.859
Br -5.590 -7.718 0.921
Eu -7.612 -11.386 -2.874
Br -6.450 2.608 12.371
Sn -2.840 -0.309 8.748
Br -9.768 -9.319 -1.669
Br -5.820 -0.113 7.936
Sn -2.742 -5.450 8.598
Br -9.471 -4.326 1.761
Eu -12.569 5.980 -1.449
Sn -7.503 1.633 9.723
Br -4.694 -1.063 -3.393
Eu -8.420 -6.322 -0.537
Eu -12.144 -2.314 0.816
Br -5.863 -0.134 14.445
Br -7.289 -0.870 -6.003
Sn -7.252 -2.267 2.406
Sn -7.906 4.038 -2.424
Br -5.032 -0.209 3.051
Br -8.640 -4.401 -9.632
Eu -1.934 -10.515 6.261
Br -8.876 -8.482 1.808
Br -1.651 -2.546 0.609
Eu -2.359 -2.220 3.996
Sn -4.412 -1.958 -6.342
Br -5.972 1.724 -1.729
Br -7.214 -3.665 10.815
Br -12.852 -1.989 4.204
Sn -5.199 -2.529 12.744
Eu -6.083 1.787 5.349
Br -7.777 -1.247 5.281
Br -8.532 -6.259 6.541
Eu -6.695 -3.431 7.386
Br -6.650 -8.058 -2.592
Br -4.648 -8.865 4.850
Sn -4.238 -6.352 3.240
Br -13.005 0.603 1.874
Br -11.604 6.946 1.467
Br -6.727 -3.287 -0.469
```

Output
- DOS at the Fermi energy (states/eV per cell) = 49.52
- uncorrected formation energy (eV/atom) = -0.84
- space-group type = Ia-3d (230)
- density (Mg/m³) = 4.3



Here is crystalline BaTcO4 at its relaxed geometry from the Alexandria database. Energies are from PBE-GGA.

```
12
Lattice="-2.313 3.000 -3.869 3.477 -2.610 -3.227 -5.568 -5.889 -1.238" Properties=species:S:1:pos:R:3 pbc="T T T"
Tc -1.224 -1.416 -1.331
O -5.455 -2.412 -4.715
O 1.051 -3.087 -3.618
O -0.081 -0.334 -2.186
Ba -0.648 -1.223 -4.843
O -1.722 -6.028 -4.301
Tc -3.179 -4.083 -7.002
Ba -3.755 -4.276 -3.490
O -4.322 -5.165 -6.147
O -2.387 -3.118 -5.716
O -2.016 -2.381 -2.617
O -2.681 0.529 -4.032
```

Output
- DOS at the Fermi energy (states/eV per cell) = 10.60
- uncorrected formation energy (eV/atom) = -2.00
- space-group type = Cmcm (63)
- density (Mg/m³) = 4.2



Here is crystalline GaPdS3 at its relaxed geometry from the Alexandria database. Energies are from PBE-GGA.

```
5
Lattice="4.762 0.000 0.000 0.000 4.762 0.000 0.000 0.000 4.762" Properties=species:S:1:pos:R:3 pbc="T T T"
S 0.000 2.381 0.000
Pd 0.000 0.000 0.000
Ga 2.381 2.381 2.381
S 2.381 0.000 0.000
S 0.000 0.000 2.381
```

Output
- DOS at the Fermi energy (states/eV per cell) = 6.09
- uncorrected formation energy (eV/atom) = 0.42
- space-group type = Pm-3m (221)
- ΔE to the lowest computed polymorph (kJ per mole of atoms) = 67.5
- density (Mg/m³) = 4.2